No. 1
VASP calculation (PBE) on a geometry-optimized SnIrOF2 structure.

Calculated values
* energy above the lowest structure with this stoichiometry: 0.000 eV/atom
* uncorrected energy: -0.370 Ry/atom
* mass density: 7631 kg/m³
* E_form (uncorrected): -0.724 eV per atom
* SG: P4/mmm

Cell: 4.6068 4.6068 3.7416 Å, 90.00 90.00 90.00°
Last column: nearest neighbours and their distance in Å.
Sites, in units of the cell vectors:
Sn: 0.0000 0.0000 0.0000  8 F 2.97, 4 O 3.26
Ir: 0.5000 0.5000 0.5000  2 O 1.87
O: 0.5000 0.5000 0.0000  2 Ir 1.87
F: 0.0000 0.5000 0.5000  2 Ir 2.30
F: 0.5000 0.0000 0.5000  2 Ir 2.30

No. 2
VASP calculation (PBE) on a geometry-optimized ErSc5Zn4 structure.

Calculated values
* DFT formation energy: -0.281 eV per atom
* uncorrected energy: -0.324 Ry/atom
* mass density: 5268 kg/m³
* SG: P4/mmm

Cell: 3.3564 3.3564 18.2920 Å, 90.00 90.00 90.00°
Last column: nearest neighbours and their distance in Å.
Sites, in units of the cell vectors:
Er: 0.0000 0.0000 0.0000  4 Er 3.36, 8 Sc 3.42
Sc: 0.5000 0.5000 0.1349  4 Zn 2.90
Sc: 0.5000 0.5000 0.3173  8 Zn 2.89-2.90
Sc: 0.5000 0.5000 0.5000  8 Zn 2.91
Sc: 0.5000 0.5000 0.6827  8 Zn 2.89-2.90
Sc: 0.5000 0.5000 0.8651  4 Zn 2.90
Zn: 0.0000 0.0000 0.2260  8 Sc 2.90
Zn: 0.0000 0.0000 0.4076  8 Sc 2.89-2.91
Zn: 0.0000 0.0000 0.5924  8 Sc 2.89-2.91
Zn: 0.0000 0.0000 0.7740  8 Sc 2.90

No. 3
VASP calculation (PBE) on a geometry-optimized K2MgS structure.

Calculated values
* energy above the lowest structure with this stoichiometry: 0.106 eV/atom
* uncorrected energy: -0.171 Ry/atom
* mass density: 1744 kg/m³
* E_form (uncorrected): -0.353 eV per atom
* SG: Fm-3m

Cell: 8.0020 8.0020 8.0020 Å, 90.00 90.00 90.00°
Last column: nearest neighbours and their distance in Å.
Sites, in units of the cell vectors:
K: 0.2500 0.2500 0.2500  4 S 3.46, 4 Mg 3.46
K: 0.2500 0.2500 0.7500  4 S 3.46, 4 Mg 3.46
K: 0.2500 0.7500 0.2500  4 S 3.46, 4 Mg 3.46
K: 0.2500 0.7500 0.7500  4 S 3.46, 4 Mg 3.46
K: 0.7500 0.2500 0.2500  4 S 3.46, 4 Mg 3.46
K: 0.7500 0.2500 0.7500  4 S 3.46, 4 Mg 3.46
K: 0.7500 0.7500 0.2500  4 S 3.46, 4 Mg 3.46
K: 0.7500 0.7500 0.7500  4 S 3.46, 4 Mg 3.46
Mg: 0.0000 0.0000 0.0000  8 K 3.46
Mg: 0.0000 0.5000 0.5000  8 K 3.46
Mg: 0.5000 0.0000 0.5000  8 K 3.46
Mg: 0.5000 0.5000 0.0000  8 K 3.46
S: 0.0000 0.0000 0.5000  8 K 3.46
S: 0.0000 0.5000 0.0000  8 K 3.46
S: 0.5000 0.0000 0.0000  8 K 3.46
S: 0.5000 0.5000 0.5000  8 K 3.46

No. 4
VASP calculation (PBE) on a geometry-optimized TaAs2Ir2 structure.

Calculated values
* DFT formation energy: 0.395 eV per atom
* uncorrected energy: -0.542 Ry/atom
* mass density: 13831 kg/m³
* SG: I4/mmm

Cell: 3.9143 3.9143 11.2087 Å, 90.00 90.00 90.00°
Last column: nearest neighbours and their distance in Å.
Sites, in units of the cell vectors:
Ta: 0.0000 0.0000 0.0000  8 As 3.05, 8 Ir 3.42
Ta: 0.5000 0.5000 0.5000  8 As 3.05, 8 Ir 3.42
As: 0.0000 0.0000 0.3853  4 Ir 2.48, 1 As 2.57
As: 0.0000 0.0000 0.6147  4 Ir 2.48, 1 As 2.57
As: 0.5000 0.5000 0.1147  4 Ir 2.48, 1 As 2.57
As: 0.5000 0.5000 0.8853  4 Ir 2.48, 1 As 2.57
Ir: 0.0000 0.5000 0.2500  4 As 2.48, 4 Ir 2.77
Ir: 0.0000 0.5000 0.7500  4 As 2.48, 4 Ir 2.77
Ir: 0.5000 0.0000 0.2500  4 As 2.48, 4 Ir 2.77
Ir: 0.5000 0.0000 0.7500  4 As 2.48, 4 Ir 2.77

No. 5
VASP calculation (PBE) on a geometry-optimized Li3Dy2ScSe6 structure.

Calculated values
* uncorrected energy: -0.380 Ry/atom
* mass density: 5326 kg/m³
* E_form (uncorrected): -1.659 eV per atom
* SG: C2/m

Cell: 6.9383 6.9383 6.8670 Å, 99.69 99.69 120.01°
Last column: nearest neighbours and their distance in Å.
Sites, in units of the cell vectors:
Li: 0.0000 0.0000 0.0000  6 Se 2.79-2.90
Li: 0.3345 0.6655 0.0000  6 Se 2.79-2.90
Li: 0.6655 0.3345 0.0000  6 Se 2.79-2.90
Dy: 0.1668 0.8332 0.5000  6 Se 2.85-2.86
Dy: 0.8332 0.1668 0.5000  6 Se 2.85-2.86
Sc: 0.5000 0.5000 0.5000  6 Se 2.74-2.76
Se: 0.0952 0.4166 0.2496  1 Sc 2.76, 3 Li 2.79-2.90, 2 Dy 2.86
Se: 0.2615 0.2615 0.7480  1 Sc 2.74, 3 Li 2.79-2.90, 2 Dy 2.85
Se: 0.4166 0.0952 0.2496  1 Sc 2.76, 3 Li 2.79-2.90, 2 Dy 2.86
Se: 0.5834 0.9048 0.7504  1 Sc 2.76, 3 Li 2.79-2.90, 2 Dy 2.86
Se: 0.7385 0.7385 0.2520  1 Sc 2.74, 3 Li 2.79-2.90, 2 Dy 2.85
Se: 0.9048 0.5834 0.7504  1 Sc 2.76, 3 Li 2.79-2.90, 2 Dy 2.86

No. 6
VASP calculation (PBE) on a geometry-optimized Ti8GeC2 structure.

Calculated values
* DFT formation energy: -0.333 eV per atom
* uncorrected energy: -0.601 Ry/atom
* mass density: 5131 kg/m³
* SG: C2/m

Cell: 6.3377 6.3377 4.2895 Å, 96.04 96.04 113.39°
Last column: nearest neighbours and their distance in Å.
Sites, in units of the cell vectors:
Ti: 0.0923 0.0923 0.8031  1 Ti 2.31, 2 C 2.44
Ti: 0.1647 0.4252 0.4390  2 C 2.22-2.34
Ti: 0.2457 0.7543 0.0000  2 C 2.22
Ti: 0.4252 0.1647 0.4390  2 C 2.22-2.34
Ti: 0.5748 0.8353 0.5610  2 C 2.22-2.34
Ti: 0.7543 0.2457 0.0000  2 C 2.22
Ti: 0.8353 0.5748 0.5610  2 C 2.22-2.34
Ti: 0.9077 0.9077 0.1969  1 Ti 2.31, 2 C 2.44
Ge: 0.5000 0.5000 0.0000  12 Ti 2.69-2.92
C: 0.1932 0.8068 0.5000  8 Ti 2.22-2.44
C: 0.8068 0.1932 0.5000  8 Ti 2.22-2.44